Entry 1:
Computed, not measured: V2CdBr after structural relaxation at the PBE-GGA level of DFT.

```
V2CdBr
1.0
0.000 3.235 3.235
3.235 0.000 3.235
3.235 3.235 0.000
V Cd Br
2 1 1
Direct
0.250 0.250 0.250
0.750 0.750 0.750
0.000 0.000 0.000
0.500 0.500 0.500
```

Values from the calculation:
- energy (eV per cell) = -17.44
- calculated density (g cm⁻³) = 7.213
- uncorrected formation energy (eV/f.u.) = 3.39
- distance to the lowest polymorph of the same formula (meV/atom) = 0


Entry 2:
Computed, not measured: V3CdBr after structural relaxation at the PBE-GGA level of DFT.

```
V3CdBr
1.0
4.523 0.000 0.000
0.000 4.523 0.000
0.000 0.000 4.523
V Cd Br
3 1 1
Direct
0.000 0.000 0.500
0.000 0.500 0.000
0.500 0.000 0.000
0.500 0.500 0.500
0.000 0.000 0.000
```

Values from the calculation:
- energy (eV per cell) = -25.18
- calculated density (g cm⁻³) = 6.192
- uncorrected formation energy (eV/f.u.) = 4.77


Entry 3:
Computed, not measured: VCd2Br after structural relaxation at the PBE-GGA level of DFT.

```
VCd2Br
1.0
-4.205 4.205 2.824
4.205 -4.205 2.824
4.205 4.205 -2.824
V Cd Br
2 4 2
Direct
0.000 0.000 0.000
0.750 0.250 0.500
0.104 0.625 0.979
0.375 0.354 0.479
0.646 0.125 0.021
0.875 0.896 0.521
0.250 0.750 0.500
0.500 0.500 0.000
```

Values from the calculation:
- energy (eV per cell) = -22.73
- calculated density (g cm⁻³) = 5.913
- uncorrected formation energy (eV/f.u.) = 1.26
- distance to the lowest polymorph of the same formula (meV/atom) = 0